Entry 1:
A plane-wave DFT calculation with PBE was carried out for a relaxed LiYPd2 crystal.

```
data_LiYPd2
_chemical_formula_sum 'Li1 Y1 Pd2'
_cell_length_a 3.468
_cell_length_b 3.468
_cell_length_c 6.007
_cell_angle_alpha 90.00
_cell_angle_beta 90.00
_cell_angle_gamma 90.00
_symmetry_space_group_name_H-M 'P 1'
_symmetry_Int_Tables_number 1
loop_
_symmetry_equiv_pos_as_xyz
'x,y,z'
loop_
_atom_site_label
_atom_site_fract_x
_atom_site_fract_y
_atom_site_fract_z
Li1 0.000 0.000 0.000
Y1 0.000 0.000 0.500
Pd1 0.500 0.500 0.231
Pd2 0.500 0.500 0.769
```


Entry 2:
A plane-wave DFT calculation with PBE was carried out for a relaxed LiY2Pd8 crystal.

```
data_LiY2Pd8
_chemical_formula_sum 'Li1 Y2 Pd8'
_cell_length_a 7.670
_cell_length_b 7.670
_cell_length_c 6.019
_cell_angle_alpha 103.51
_cell_angle_beta 103.51
_cell_angle_gamma 33.42
_symmetry_space_group_name_H-M 'P 1'
_symmetry_Int_Tables_number 1
loop_
_symmetry_equiv_pos_as_xyz
'x,y,z'
loop_
_atom_site_label
_atom_site_fract_x
_atom_site_fract_y
_atom_site_fract_z
Li1 0.000 0.000 0.000
Y1 0.291 0.291 0.318
Y2 0.709 0.709 0.682
Pd1 0.095 0.095 0.423
Pd2 0.147 0.147 0.896
Pd3 0.345 0.345 0.823
Pd4 0.477 0.477 0.265
Pd5 0.523 0.523 0.735
Pd6 0.655 0.655 0.177
Pd7 0.853 0.853 0.104
Pd8 0.905 0.905 0.577
```


Entry 3:
A plane-wave DFT calculation with PBE was carried out for a relaxed Li2Y2Pd5 crystal.

```
data_Li2Y2Pd5
_chemical_formula_sum 'Li4 Y4 Pd10'
_cell_length_a 9.043
_cell_length_b 9.043
_cell_length_c 9.043
_cell_angle_alpha 59.05
_cell_angle_beta 137.36
_cell_angle_gamma 141.14
_symmetry_space_group_name_H-M 'P 1'
_symmetry_Int_Tables_number 1
loop_
_symmetry_equiv_pos_as_xyz
'x,y,z'
loop_
_atom_site_label
_atom_site_fract_x
_atom_site_fract_y
_atom_site_fract_z
Li1 0.001 0.073 0.074
Li2 0.001 0.427 0.428
Li3 0.999 0.573 0.572
Li4 0.999 0.927 0.926
Y1 0.498 0.749 0.249
Y2 0.500 0.000 0.500
Y3 0.500 0.500 0.000
Y4 0.501 0.249 0.751
Pd1 0.000 0.750 0.751
Pd2 0.500 0.122 0.122
Pd3 0.500 0.378 0.379
Pd4 0.500 0.621 0.621
Pd5 0.500 0.877 0.878
Pd6 0.999 0.121 0.621
Pd7 0.999 0.250 0.249
Pd8 0.999 0.377 0.878
Pd9 0.999 0.622 0.122
Pd10 0.999 0.878 0.379
```


Entry 4:
# Li2YPd3 PBE relaxed
data_Li2YPd3
_chemical_formula_sum 'Li2 Y1 Pd3'
_cell_length_a 4.482
_cell_length_b 4.482
_cell_length_c 5.725
_cell_angle_alpha 90.00
_cell_angle_beta 90.00
_cell_angle_gamma 120.00
_symmetry_space_group_name_H-M 'P 1'
_symmetry_Int_Tables_number 1
loop_
_symmetry_equiv_pos_as_xyz
'x,y,z'
loop_
_atom_site_label
_atom_site_fract_x
_atom_site_fract_y
_atom_site_fract_z
Li1 0.333 0.667 0.165
Li2 0.667 0.333 0.835
Y1 0.000 0.000 0.500
Pd1 0.000 0.000 0.000
Pd2 0.333 0.667 0.718
Pd3 0.667 0.333 0.282
# Energy above the lowest structure with this stoichiometry = 11 meV per atom


Entry 5:
# LiYPd3 PBE relaxed
data_LiYPd3
_chemical_formula_sum 'Li1 Y1 Pd3'
_cell_length_a 5.104
_cell_length_b 5.104
_cell_length_c 5.104
_cell_angle_alpha 90.00
_cell_angle_beta 90.00
_cell_angle_gamma 90.00
_symmetry_space_group_name_H-M 'P 1'
_symmetry_Int_Tables_number 1
loop_
_symmetry_equiv_pos_as_xyz
'x,y,z'
loop_
_atom_site_label
_atom_site_fract_x
_atom_site_fract_y
_atom_site_fract_z
Li1 0.000 0.000 0.000
Y1 0.500 0.500 0.500
Pd1 0.000 0.500 0.500
Pd2 0.500 0.000 0.500
Pd3 0.500 0.500 0.000
# Energy above the lowest structure with this stoichiometry = 938 meV per atom


Entry 6:
# Li2YPd2 PBE relaxed
data_Li2YPd2
_chemical_formula_sum 'Li4 Y2 Pd4'
_cell_length_a 3.765
_cell_length_b 3.765
_cell_length_c 12.961
_cell_angle_alpha 90.00
_cell_angle_beta 90.00
_cell_angle_gamma 90.00
_symmetry_space_group_name_H-M 'P 1'
_symmetry_Int_Tables_number 1
loop_
_symmetry_equiv_pos_as_xyz
'x,y,z'
loop_
_atom_site_label
_atom_site_fract_x
_atom_site_fract_y
_atom_site_fract_z
Li1 0.000 0.500 0.250
Li2 0.000 0.500 0.750
Li3 0.500 0.000 0.250
Li4 0.500 0.000 0.750
Y1 0.000 0.000 0.000
Y2 0.500 0.500 0.500
Pd1 0.000 0.000 0.394
Pd2 0.000 0.000 0.606
Pd3 0.500 0.500 0.106
Pd4 0.500 0.500 0.894
# Energy above the lowest structure with this stoichiometry = 19 meV per atom


| no. | calculated formation energy (eV/atom) | mass density (g cm⁻³) | volume (Å³ per cell) |
| --- | --- | --- | --- |
| 1 | -0.702 | 7.1 | 72.2 |
| 2 | -0.565 | 9.1 | 189.1 |
| 3 | -0.651 | 7.7 | 311.3 |
| 4 | -0.595 | 7.0 | 99.6 |
| 5 | 0.368 | 5.2 | 133.0 |
| 6 | -0.556 | 5.7 | 183.7 |